No. 1
5
Lattice="5.8833 0.0000 0.0000 0.0000 5.8833 0.0000 0.0000 0.0000 5.8833" Properties=species:S:1:pos:R:3 comment="Sr3TiAl GGA-PBEsol optimized geometry" rho_g_cm3=2.75 magnetic_moment_mub_per_atom=0.481 delta_e_f_ev_per_fu=4.60 dos_at_fermi_per_ev_atom=1.2949 pbc="T T T"
Sr 0.0000 2.9417 0.0000
Sr 0.0000 0.0000 2.9417
Sr 2.9417 0.0000 0.0000
Al 2.9417 2.9417 2.9417
Ti 0.0000 0.0000 0.0000

---

No. 2
4
Lattice="-3.0327 2.1438 -2.1058 0.1746 -3.2540 -3.5640 -2.9127 -4.4874 3.9543" Properties=species:S:1:pos:R:3 comment="Sr2AlTl GGA-PBEsol optimized geometry" rho_g_cm3=5.20 magnetic_moment_mub_per_atom=0.000 delta_e_f_ev_per_fu=-1.13 dos_at_fermi_per_ev_atom=0.5474 pbc="T T T"
Sr -0.8875 -0.6844 0.5814
Sr -3.4244 -4.3350 0.5184
Tl -4.3213 -1.0912 0.7846
Al -3.0309 -1.7904 -1.7856

---

No. 3
4
Lattice="3.9591 0.0000 0.0000 0.0000 3.9591 0.0000 0.0000 0.0000 7.8630" Properties=species:S:1:pos:R:3 comment="Sr2AlTl GGA-PBEsol optimized geometry" rho_g_cm3=5.48 magnetic_moment_mub_per_atom=0.000 delta_e_f_ev_per_fu=-1.10 dos_at_fermi_per_ev_atom=0.6857 pbc="T T T"
Sr 0.0000 0.0000 1.9008
Sr 0.0000 0.0000 5.9622
Tl 1.9795 1.9795 3.9315
Al 1.9795 1.9795 0.0000

---

No. 4
4
Lattice="2.8046 0.0000 0.0000 0.0000 5.2122 0.0000 0.0000 0.0000 5.1122" Properties=species:S:1:pos:R:3 comment="SrAlW2 GGA-PBEsol optimized geometry" rho_g_cm3=10.72 magnetic_moment_mub_per_atom=0.000 delta_e_f_ev_per_fu=4.13 dos_at_fermi_per_ev_atom=0.6907 pbc="T T T"
Sr 0.0000 2.6061 2.5561
Al 1.4023 0.0000 2.5561
W 0.0000 0.0000 0.0000
W 1.4023 2.6061 0.0000

---

No. 5
4
Lattice="2.7061 0.0000 0.0000 0.0000 5.2064 0.0000 -1.3530 -2.6032 5.4033" Properties=species:S:1:pos:R:3 comment="SrAlW2 GGA-PBEsol optimized geometry" rho_g_cm3=10.52 magnetic_moment_mub_per_atom=0.000 delta_e_f_ev_per_fu=3.31 dos_at_fermi_per_ev_atom=1.1298 pbc="T T T"
Sr 0.0000 2.6032 0.0000
Al 1.3530 0.0000 0.0000
W 1.3530 2.6032 3.0903
W 0.0000 0.0000 2.3130

---

No. 6
4
Lattice="-2.4029 -3.1935 0.4376 1.0850 -1.3153 -3.6409 4.2219 -0.1615 3.5362" Properties=species:S:1:pos:R:3 comment="SrAlW2 GGA-PBEsol optimized geometry" rho_g_cm3=10.50 magnetic_moment_mub_per_atom=0.000 delta_e_f_ev_per_fu=4.48 dos_at_fermi_per_ev_atom=0.8025 pbc="T T T"
Sr 0.0000 0.0000 0.0000
Al -0.6589 -2.2544 -1.6017
W 0.5800 -2.8047 1.1861
W 2.3240 -1.8656 -0.8532

---

No. 7
4
Lattice="2.7633 0.0016 0.0000 -0.3472 2.7414 0.0000 0.0000 0.0000 9.6337" Properties=species:S:1:pos:R:3 comment="SrAlW2 GGA-PBEsol optimized geometry" rho_g_cm3=10.97 magnetic_moment_mub_per_atom=0.000 delta_e_f_ev_per_fu=2.82 dos_at_fermi_per_ev_atom=0.7252 pbc="T T T"
Sr 1.2081 1.3715 0.0000
Al 1.2081 1.3715 4.8169
W 0.0000 0.0000 2.8001
W 0.0000 0.0000 6.8336

---

No. 8
4
Lattice="-1.4894 1.4428 1.7654 -3.5470 -0.0017 -4.2202 0.4816 -4.9195 2.9408" Properties=species:S:1:pos:R:3 comment="SrAlW2 GGA-PBEsol optimized geometry" rho_g_cm3=10.84 magnetic_moment_mub_per_atom=0.000 delta_e_f_ev_per_fu=3.89 dos_at_fermi_per_ev_atom=0.7827 pbc="T T T"
Sr -1.7735 -0.0008 -2.1101
Al -0.7447 0.7214 0.8827
W 0.2408 -2.4597 1.4704
W -2.2774 -1.7392 0.2430